# PaAlGaSi, relaxed, DFT PBE-GGA
# - E_form (uncorrected) (meV per atom) = -369.0
# - density of states at the Fermi level (states/eV per cell) = 4.14
# - final energy (eV/atom) = -5.79
data_PaAlGaSi
_chemical_formula_sum 'Pa1 Al1 Ga1 Si1'
_cell_length_a 4.094
_cell_length_b 4.184
_cell_length_c 4.450
_cell_angle_alpha 90.00
_cell_angle_beta 90.00
_cell_angle_gamma 90.00
_symmetry_space_group_name_H-M 'P m m m'
_symmetry_Int_Tables_number 47
loop_
_symmetry_equiv_pos_as_xyz
'x,y,z'
'-x,-y,-z'
'-x,-y,z'
'x,y,-z'
'x,-y,-z'
'-x,y,z'
'-x,y,-z'
'x,-y,z'
loop_
_atom_site_label
_atom_site_fract_x
_atom_site_fract_y
_atom_site_fract_z
Pa1 0.000 0.000 0.000
Al1 0.000 0.500 0.500
Ga1 0.500 0.000 0.500
Si1 0.500 0.500 0.000